The following is a GGA-PBEsol calculation of a geometry-optimized ScAl2Fe structure, from the Alexandria database.

a = 3.0371 Å, b = 3.0371 Å, c = 6.5672 Å
α = 90.00°, β = 90.00°, γ = 90.00°
Fractional positions:
1 Sc 0.5000 0.5000 0.7133
2 Al 0.0000 0.0000 0.0311
3 Al 0.5000 0.5000 0.2908
4 Fe 0.0000 0.0000 0.4648

Computed properties:
* symmetry: P4mm (99)
* D(E_F): 2.2 states/eV per cell
* size of the total moment: 0.000 μB per formula unit
* formation enthalpy at 0 K: -0.281 eV/atom